Record 1
Density functional theory data (PBE-GGA) for a relaxed structure of Pr4NiPd.

Cell and atoms, written as POSCAR:
```
Pr4NiPd
1.0
7.172 -0.065 0.000
-1.122 6.979 0.000
-3.025 -3.457 7.244
Pr Ni Pd
8 2 2
Direct
0.959 0.283 0.067
0.608 0.784 0.067
0.786 0.032 0.569
0.214 0.968 0.431
0.041 0.717 0.933
0.283 0.537 0.569
0.717 0.463 0.431
0.392 0.216 0.933
0.088 0.838 0.676
0.912 0.162 0.324
0.379 0.629 0.257
0.621 0.371 0.743
```

Properties
- formation energy from the elements (eV per atom) = -0.260
- final energy (eV per atom) = -5.28

Record 2
Density functional theory data (PBE-GGA) for a relaxed structure of Pr12NiPd6.

Cell and atoms, written as POSCAR:
```
Pr12NiPd6
1.0
8.504 0.026 0.031
-1.263 8.409 0.031
-1.263 -1.472 8.279
Pr Pd Ni
12 6 1
Direct
0.418 0.579 0.182
0.582 0.421 0.818
0.182 0.418 0.579
0.421 0.818 0.582
0.579 0.182 0.418
0.042 0.683 0.926
0.958 0.317 0.074
0.926 0.042 0.683
0.074 0.958 0.317
0.683 0.926 0.042
0.818 0.582 0.421
0.317 0.074 0.958
0.308 0.129 0.620
0.620 0.308 0.129
0.871 0.380 0.692
0.692 0.871 0.380
0.380 0.692 0.871
0.129 0.620 0.308
0.000 0.000 0.000
```

Properties
- formation energy from the elements (eV per atom) = -0.404
- final energy (eV per atom) = -5.37

Record 3
Density functional theory data (PBE-GGA) for a relaxed structure of Pr3NiPd3.

Cell and atoms, written as POSCAR:
```
Pr3NiPd3
1.0
-1.229 1.385 4.062
-3.203 -2.356 -0.166
7.061 -6.369 1.855
Pd Ni Pr
3 1 3
Direct
0.855 0.355 0.710
0.562 0.562 0.125
0.153 0.653 0.306
0.429 0.429 0.857
0.319 0.819 0.639
0.684 0.184 0.368
0.998 0.998 0.996
```

Properties
- formation energy from the elements (eV per atom) = -0.652
- final energy (eV per atom) = -5.75

Record 4
Density functional theory data (PBE-GGA) for a relaxed structure of Pr2NiPd2.

Cell and atoms, written as POSCAR:
```
Pr2NiPd2
1.0
-3.445 -1.969 0.404
3.855 -3.202 -2.501
4.437 -1.736 9.639
Pd Pr Ni
4 4 2
Direct
0.648 0.183 0.112
0.126 0.798 0.453
0.352 0.817 0.888
0.874 0.202 0.547
0.343 0.345 0.341
0.657 0.655 0.659
0.931 0.744 0.118
0.069 0.256 0.882
0.617 0.918 0.314
0.383 0.082 0.686
```

Properties
- formation energy from the elements (eV per atom) = -0.601
- final energy (eV per atom) = -5.75

Record 5
Density functional theory data (PBE-GGA) for a relaxed structure of Pr2NiPd.

Cell and atoms, written as POSCAR:
```
Pr2NiPd
1.0
-0.364 -0.596 -3.510
-2.987 -1.869 0.627
-3.909 6.040 -0.621
Pd Pr Ni
1 2 1
Direct
0.500 0.500 0.500
0.000 0.000 0.240
0.000 0.000 0.760
0.500 0.500 0.000
```

Properties
- polymorph energy (0 for the lowest one) (meV per atom) = 79.3
- formation energy from the elements (eV per atom) = -0.446
- final energy (eV per atom) = -5.58

Record 6
Density functional theory data (PBE-GGA) for a relaxed structure of Pr2Ni15Pd2.

Cell and atoms, written as POSCAR:
```
Pr2Ni15Pd2
1.0
-1.488 -2.128 5.835
5.684 1.161 2.670
-1.511 5.686 2.485
Ni Pd Pr
15 2 2
Direct
0.654 0.158 0.654
0.706 0.294 0.000
0.842 0.346 0.346
0.294 0.706 0.000
0.000 0.706 0.294
0.000 0.000 0.500
0.000 0.500 0.000
0.294 0.000 0.706
0.654 0.654 0.158
0.158 0.654 0.654
0.500 0.000 0.000
0.346 0.842 0.346
0.706 0.000 0.294
0.000 0.294 0.706
0.346 0.346 0.842
0.106 0.106 0.106
0.894 0.894 0.894
0.344 0.344 0.344
0.656 0.656 0.656
```

Properties
- formation energy from the elements (eV per atom) = -0.171
- final energy (eV per atom) = -5.78

Record 7
Density functional theory data (PBE-GGA) for a relaxed structure of Pr4Ni2Pd.

Cell and atoms, written as POSCAR:
```
Pr4Ni2Pd
1.0
-4.751 -1.814 5.626
5.089 -5.532 -0.911
3.851 6.651 1.992
Ni Pr Pd
4 8 2
Direct
0.762 0.898 0.417
0.148 0.512 0.915
0.482 0.345 0.583
0.596 0.231 0.084
0.750 0.157 0.764
0.406 0.498 0.263
0.237 0.143 0.736
0.872 0.648 0.166
0.393 0.985 0.237
0.956 0.232 0.334
0.481 0.706 0.833
0.897 0.623 0.666
0.260 0.760 0.499
0.011 0.011 0.002
```

Properties
- formation energy from the elements (eV per atom) = -0.333
- final energy (eV per atom) = -5.46

Record 8
Density functional theory data (PBE-GGA) for a relaxed structure of Pr6NiPd2.

Cell and atoms, written as POSCAR:
```
Pr6NiPd2
1.0
-3.473 5.283 -2.450
-2.811 -4.363 -5.423
-7.865 -2.840 6.362
Pd Pr Ni
4 12 2
Direct
0.063 0.615 0.236
0.563 0.885 0.736
0.937 0.385 0.764
0.437 0.115 0.264
0.349 0.537 0.745
0.829 0.675 0.570
0.171 0.325 0.430
0.331 0.817 0.434
0.169 0.317 0.066
0.329 0.825 0.070
0.151 0.037 0.755
0.671 0.175 0.930
0.669 0.183 0.566
0.651 0.463 0.255
0.831 0.683 0.934
0.849 0.963 0.245
0.500 0.500 0.000
0.000 0.000 0.500
```

Properties
- formation energy from the elements (eV per atom) = -0.375
- final energy (eV per atom) = -5.36